# PBE RbLa2Si, optimized geometry
# **ΔE_f (raw)**: 0.204 eV/atom
# **Calculated density**: 4.2 g/cm3
# **Crystal system**: tetragonal
data_RbLa2Si
_space_group_name_H-M_alt 'I -4 2 d'
_space_group_IT_number 122
_space_group_name_Hall 'I -4 2bw'
_cell_length_a 9.1687
_cell_length_b 9.1687
_cell_length_c 7.3403
_cell_angle_alpha 90.00
_cell_angle_beta 90.00
_cell_angle_gamma 90.00
loop_
_atom_site_label
_atom_site_type_symbol
_atom_site_fract_x
_atom_site_fract_y
_atom_site_fract_z
Rb1 Rb 0.0000 0.0000 0.0000
La1 La 0.1819 0.2500 0.6250
Si1 Si 0.0000 0.0000 0.5000